(1)
Entry from the Alexandria database: an optimized crystal structure of AgTeMo2 (PBE).

Computed properties:
As for the symmetry: P4/mmm (123). The crystal system is tetragonal.

Lattice parameters (Å, degrees): 3.246 3.246 6.697 90.00 90.00 90.00
Element x y z (fractional)
Mo 0.000 0.000 0.489
Te 0.500 0.500 0.250
Mo 0.000 0.000 0.011
Ag 0.500 0.500 0.750

***

(2)
Entry from the Alexandria database: an optimized crystal structure of AgTeMo (PBE).

Computed properties:
As for the symmetry: P3m1 (156). The crystal system is trigonal. For the energy relative to the lowest polymorph listed for this composition, the calculation gives 0 meV/atom.

Lattice parameters (Å, degrees): 3.242 3.242 7.152 90.00 90.00 120.00
Element x y z (fractional)
Mo 0.333 0.667 0.350
Ag 0.000 0.000 0.035
Te 0.667 0.333 0.616

***

(3)
Entry from the Alexandria database: an optimized crystal structure of Ag2TeMo (PBE).

Computed properties:
As for the symmetry: P4mm (99). The crystal system is tetragonal.

Lattice parameters (Å, degrees): 3.445 3.445 6.454 90.00 90.00 90.00
Site moments in Bohr magnetons follow the coordinates.
Element x y z (fractional)
Mo 0.000 0.000 0.511  0.15
Ag 0.500 0.500 0.247  0.01
Te 0.500 0.500 0.715  0.00
Ag 0.000 0.000 0.026  0.00

***

(4)
Entry from the Alexandria database: an optimized crystal structure of AgTeMo2 (PBE).

Computed properties:
As for the symmetry: I-42d (122). The crystal system is tetragonal.

Lattice parameters (Å, degrees): 10.479 10.479 10.479 158.31 158.31 30.86
Element x y z (fractional)
Te 0.750 0.250 0.500
Te 0.000 0.000 0.000
Ag 0.250 0.750 0.500
Mo 0.576 0.625 0.451
Mo 0.875 0.424 0.049
Mo 0.174 0.125 0.549
Ag 0.500 0.500 0.000
Mo 0.375 0.826 0.951

***

Number 1: ΔE_f (raw) 0.6177 eV/atom, VASP energy -6.30 eV per atom. Number 2: ΔE_f (raw) 0.4265 eV/atom, VASP energy -5.18 eV per atom. Number 3: ΔE_f (raw) 0.2954 eV/atom, VASP energy -4.62 eV per atom. Number 4: ΔE_f (raw) 0.7114 eV/atom, VASP energy -6.20 eV per atom.